# 1
DFT (GGA-PBEsol) results for a relaxed structure of PHW2.

a b c (Å): 5.869 5.869 5.869
angles (deg): 132.59 132.59 69.31
Positions (direct):
P (0.000, 0.000, 0.000)
P (0.750, 0.250, 0.500)
H (0.250, 0.750, 0.500)
H (0.500, 0.500, 0.000)
W (0.223, 0.625, 0.098)
W (0.375, 0.473, 0.598)
W (0.527, 0.125, 0.902)
W (0.875, 0.777, 0.402)

Values from the calculation:
- V: 13.4 A^3/atom
- Energy: -69.14 eV for the cell shown
- Space-group type: I-42d (122)



# 2
DFT (GGA-PBEsol) results for a relaxed structure of Y2PH.

a b c (Å): 5.742 5.742 5.742
angles (deg): 110.00 110.00 108.42
Positions (direct):
Y (0.065, 0.625, 0.940)
Y (0.375, 0.315, 0.440)
Y (0.685, 0.125, 0.060)
Y (0.875, 0.935, 0.560)
P (0.250, 0.750, 0.500)
P (0.500, 0.500, 0.000)
H (0.000, 0.000, 0.000)
H (0.750, 0.250, 0.500)

Values from the calculation:
- V: 18.2 A^3/atom
- Energy: -52.76 eV for the cell shown
- Space-group type: I-42d (122)
- Distance to the lowest polymorph of the same formula: 0.000 eV per atom